Entry 1:
CuRuN3 after structural relaxation. Source: Alexandria via LeMat-Bulk, functional GGA-PBE.

As for the formation energy without anion corrections: 2.127 eV per atom. The magnetic moment comes out at 0.6 μB per formula unit. As for the calculated volume: 9.86 Å³ per atom. As for the crystal system: cubic.

CIF file:
```
data_CuRuN3
_space_group_name_H-M_alt 'P m -3 m'
_space_group_IT_number 221
_space_group_name_Hall '-P 4 2 3'
_cell_length_a 3.667
_cell_length_b 3.667
_cell_length_c 3.667
_cell_angle_alpha 90.00
_cell_angle_beta 90.00
_cell_angle_gamma 90.00
loop_
_atom_site_label
_atom_site_fract_x
_atom_site_fract_y
_atom_site_fract_z
Cu1 0.000 0.000 0.000
Ru1 0.500 0.500 0.500
N1 0.000 0.000 0.500
```



Entry 2:
SbWCl2 after structural relaxation. Source: Alexandria via LeMat-Bulk, functional GGA-PBE.

As for the formation energy without anion corrections: 0.027 eV per atom. The magnetic moment comes out at 0.0 μB per formula unit. As for the calculated volume: 26.63 Å³ per atom. As for the crystal system: orthorhombic.

CIF file:
```
data_SbWCl2
_space_group_name_H-M_alt 'I m m m'
_space_group_IT_number 71
_space_group_name_Hall '-I 2 2'
_cell_length_a 3.049
_cell_length_b 4.940
_cell_length_c 14.147
_cell_angle_alpha 90.00
_cell_angle_beta 90.00
_cell_angle_gamma 90.00
loop_
_atom_site_label
_atom_site_fract_x
_atom_site_fract_y
_atom_site_fract_z
Sb1 0.000 0.000 0.000
W1 0.000 0.000 0.500
Cl1 0.000 0.500 0.143
```